Entry 1:
Compound: LiNdHoPd
Source: Alexandria via LeMat-Bulk
Functional: GGA-PBE
Structure: optimized geometry

As for the space group: No. 216. The calculation puts the volume at 93.99 Å³/cell. The calculation puts the energy of formation from the pure elements at -0.363 eV/atom. Its calculated total energy is -4.476 eV per atom.

a = 5.1035 Å, b = 5.1035 Å, c = 5.1035 Å
α = 60.00°, β = 60.00°, γ = 60.00°
Fractional coordinates of all 4 atoms:
Nd 0.2500 0.2500 0.2500
Li 0.0000 0.0000 0.0000
Ho 0.7500 0.7500 0.7500
Pd 0.5000 0.5000 0.5000

---

Entry 2:
Compound: LiNdHoPt
Source: Alexandria via LeMat-Bulk
Functional: GGA-PBE
Structure: optimized geometry

As for the space group: No. 216. The calculation puts the volume at 91.54 Å³/cell. The calculation puts the energy of formation from the pure elements at -0.594 eV/atom. Its calculated total energy is -4.919 eV per atom.

a = 5.0588 Å, b = 5.0588 Å, c = 5.0588 Å
α = 60.00°, β = 60.00°, γ = 60.00°
Fractional coordinates of all 4 atoms:
Nd 0.5000 0.5000 0.5000
Li 0.2500 0.2500 0.2500
Pt 0.7500 0.7500 0.7500
Ho 0.0000 0.0000 0.0000